Record 1
Computed, not measured: an optimized crystal structure of Na4Cd5Hg at the PBE level of DFT.

## Properties
**Energy of formation from the pure elements**: -0.096 eV/atom
**Raw total energy**: -11.11 eV per cell
**Density of states at the Fermi level**: 3.4 states/eV per cell

```
10
Lattice="5.7155 0.0000 0.0000 2.3112 6.2874 0.0000 1.9138 1.0787 6.9477" Properties=species:S:1:pos:R:3 pbc="T T T"
Na 2.1305 2.8283 2.0978
Na 3.9340 2.2314 6.1661
Na 6.0066 5.1347 0.7816
Na 7.8101 4.5378 4.8499
Cd 3.1955 6.0497 2.1109
Cd 5.0375 5.4154 6.2632
Cd 3.8147 0.5393 3.4739
Cd 4.9031 1.9507 0.6845
Cd 6.7451 1.3164 4.8368
Hg 4.9703 3.6830 3.4739
```


Record 2
Computed, not measured: an optimized crystal structure of NaCd5Hg12 at the PBE level of DFT.

## Properties
**Energy of formation from the pure elements**: -0.017 eV/atom
**Raw total energy**: -9.82 eV per cell
**Density of states at the Fermi level**: 5.6 states/eV per cell

```
18
Lattice="-4.4609 4.8162 5.5851 4.4609 -4.8162 5.5851 4.4609 4.8162 -5.5851" Properties=species:S:1:pos:R:3 pbc="T T T"
Na 0.0000 0.0000 0.0000
Cd 4.4609 0.0000 1.5368
Cd 1.4384 4.8162 0.0000
Cd 0.0000 0.0000 5.5851
Cd 3.0226 0.0000 5.5851
Cd 0.0000 4.8162 4.0482
Hg 4.4609 -2.2457 3.4941
Hg 2.6555 2.0491 0.0000
Hg 6.2664 2.0491 0.0000
Hg 2.7886 4.8162 -2.7625
Hg 1.6724 0.0000 2.8225
Hg 0.0000 2.5704 2.0910
Hg 4.4609 2.2457 3.4941
Hg 2.7886 4.8162 2.7625
Hg 1.6724 0.0000 8.3476
Hg -1.8054 2.7671 5.5851
Hg 1.8054 2.7671 5.5851
Hg 0.0000 7.0619 2.0910
```